Here is a relaxed structure of LaErIn2 from OQMD via LeMat-Bulk. Energies are from PBE.

The mass density is 7.89 Mg/m³. For the total magnetic moment, the calculation gives 0.00 μB/f.u. Its final energy is -16.9 eV per cell.

The structure belongs to space group P4/mmm (No. 123); the cell edges are 3.810, 3.810 and 7.771 Å and the angles 90.00°, 90.00° and 90.00°. The distinct sites, in fractional coordinates, are La at (0.000, 0.000, 0.000), Er at (0.000, 0.000, 0.500) and In at (0.500, 0.500, 0.272).